12
Lattice="-0.7760 0.7404 -4.8442 -3.5597 -3.4456 0.1587 -4.6267 4.8480 1.4821" Properties=species:S:1:pos:R:3 comment="Tm2RePbO8 PBE relaxed" n_ef_per_ev_cell=1.11 sg="P2/m, No. 10" final_energy_ev_per_atom=-7.68 volume_a3_per_atom=14.06 total_magnetization_mub_per_cell=0.00 pbc="T T T"
O -7.7688 2.8855 -1.9077
O -2.2327 0.9455 -3.6205
Tm -3.3048 -0.1614 -1.9786
O -3.9784 -1.6854 -0.4640
O -6.7297 1.1973 0.4171
O -4.9840 3.8281 -2.7394
Re 0.0000 0.0000 0.0000
O -1.1936 -0.7427 -1.2957
O -5.2858 0.5677 -2.4654
Pb -2.3134 2.4240 0.7411
O -3.6766 1.5751 -0.7380
Tm -5.6576 2.3042 -1.2248

4
Lattice="9.7554 0.0266 0.0157 9.1126 3.4826 0.0157 9.1126 1.6948 3.0424" Properties=species:S:1:pos:R:3 comment="ZrSb2Br PBE relaxed" n_ef_per_ev_cell=4.34 sg="R-3m, No. 166" final_energy_ev_per_atom=-4.77 volume_a3_per_atom=25.53 polymorph_energy_mev_per_atom=363 total_magnetization_mub_per_cell=0.00 pbc="T T T"
Sb 27.8489 5.1795 3.0593
Zr 6.9952 1.3010 0.7685
Sb 14.1221 2.6265 1.5514
Br 20.9855 3.9030 2.3054

6
Lattice="5.3740 0.0000 0.0000 2.6870 4.6540 0.0000 2.6870 1.5513 4.3878" Properties=species:S:1:pos:R:3 comment="EuNpIr4 PBE relaxed" n_ef_per_ev_cell=16.94 sg="F-43m, No. 216" final_energy_ev_per_atom=-10.21 volume_a3_per_atom=18.29 total_magnetization_mub_per_cell=3.84 pbc="T T T"
Np 0.0000 0.0000 0.0000
Ir 5.3740 3.1027 0.5488
Ir 4.0308 3.8782 2.7423
Ir 5.3740 1.5517 2.7423
Ir 6.7172 3.8782 2.7423
Eu 2.6870 1.5513 1.0970